Record 1
Density functional theory data (PBE) for a geometry-optimized BaLaYZr2 structure.

## Properties
* calculated formation energy: 1.183 eV per atom
* density of states at the Fermi level: 11.490 states/eV per cell

a b c (Å): 5.466 5.466 5.679
angles (deg): 90.00 90.00 90.00
Space group P4/mmm (No. 123)
Inequivalent atoms, fractional coordinates:
Ba (0.000, 0.000, 0.000) [1 per cell]
La (0.500, 0.500, 0.500) [1 per cell]
Y (0.000, 0.000, 0.500) [1 per cell]
Zr (0.000, 0.500, 0.000) [2 per cell]



Record 2
Density functional theory data (PBE) for a geometry-optimized Cs3HBrF structure.

## Properties
* density of states at the Fermi level: 0.000 states/eV per cell
* E_tot: -3.081 eV/atom

a b c (Å): 9.111 4.907 11.089
angles (deg): 90.00 110.27 90.00
Space group P2_1/m (No. 11)
Inequivalent atoms, fractional coordinates:
Cs (0.002, 0.250, 0.321) [2 per cell]
Cs (0.304, 0.250, 0.983) [2 per cell]
Cs (0.402, 0.750, 0.633) [2 per cell]
H (0.175, 0.250, 0.607) [2 per cell]
Br (0.264, 0.750, 0.249) [2 per cell]
F (0.354, 0.750, 0.871) [2 per cell]